(1)
Entry from the Alexandria database: a relaxed Tl3VI crystal (PBE).

M_tot = 4.16 μB/cell
Raw formation energy = 0.942 eV/atom
Energy above the lowest structure with this stoichiometry = 716 meV per atom
Symmetry = Pm-3m

a b c (Å): 6.334 6.334 6.334
angles (deg): 90.00 90.00 90.00
Fractional positions:
Tl  0.000  0.000  0.500
Tl  0.000  0.500  0.000
Tl  0.500  0.000  0.000
V  0.500  0.500  0.500
I  0.000  0.000  0.000

---

(2)
Entry from the Alexandria database: a relaxed TlW2I crystal (PBE).

M_tot = 0.00 μB/cell
Raw formation energy = 1.541 eV/atom
Energy above the lowest structure with this stoichiometry = 6 meV per atom
Symmetry = I-42d

a b c (Å): 10.230 10.230 10.230
angles (deg): 155.24 155.24 35.30
Fractional positions:
Tl  0.000  0.000  0.000
Tl  0.750  0.250  0.500
W  0.207  0.625  0.082
W  0.375  0.457  0.582
W  0.543  0.125  0.918
W  0.875  0.793  0.418
I  0.250  0.750  0.500
I  0.500  0.500  0.000

---

(3)
Entry from the Alexandria database: a relaxed TlW2I crystal (PBE).

M_tot = 0.00 μB/cell
Raw formation energy = 1.535 eV/atom
Energy above the lowest structure with this stoichiometry = 0 meV per atom
Symmetry = Fm-3m

a b c (Å): 4.760 4.760 4.760
angles (deg): 60.00 60.00 60.00
Fractional positions:
Tl  0.000  0.000  0.000
W  0.250  0.250  0.250
W  0.750  0.750  0.750
I  0.500  0.500  0.500

---

(4)
Entry from the Alexandria database: a relaxed TlWI3 crystal (PBE).

M_tot = 4.00 μB/cell
Raw formation energy = 0.309 eV/atom
Energy above the lowest structure with this stoichiometry = 0 meV per atom
Symmetry = Pm-3m

a b c (Å): 5.758 5.758 5.758
angles (deg): 90.00 90.00 90.00
Fractional positions:
Tl  0.000  0.000  0.000
W  0.500  0.500  0.500
I  0.000  0.500  0.500
I  0.500  0.000  0.500
I  0.500  0.500  0.000

---

(5)
Entry from the Alexandria database: a relaxed TlWI6 crystal (PBE).

M_tot = 2.01 μB/cell
Raw formation energy = -0.188 eV/atom
Symmetry = C2/c

a b c (Å): 7.377 7.377 12.349
angles (deg): 93.81 93.81 82.59
Fractional positions:
Tl  0.024  0.976  0.750
Tl  0.976  0.024  0.250
W  0.000  0.500  0.500
W  0.500  0.000  0.000
I  0.094  0.533  0.291
I  0.160  0.201  0.000
I  0.201  0.160  0.500
I  0.302  0.651  0.580
I  0.349  0.698  0.920
I  0.467  0.906  0.209
I  0.533  0.094  0.791
I  0.651  0.302  0.080
I  0.698  0.349  0.420
I  0.799  0.840  0.500
I  0.840  0.799  0.000
I  0.906  0.467  0.709

---

(6)
Entry from the Alexandria database: a relaxed TlW3I crystal (PBE).

M_tot = 0.00 μB/cell
Raw formation energy = 2.740 eV/atom
Energy above the lowest structure with this stoichiometry = 0 meV per atom
Symmetry = Pm-3m

a b c (Å): 4.911 4.911 4.911
angles (deg): 90.00 90.00 90.00
Fractional positions:
Tl  0.000  0.000  0.000
W  0.000  0.500  0.500
W  0.500  0.000  0.500
W  0.500  0.500  0.000
I  0.500  0.500  0.500